Entry 1:
Below is RbLaHgCl6 after structural relaxation, with properties calculated at the PBE level.

CIF file:
```
data_RbLaHgCl6
_cell_length_a 7.1990
_cell_length_b 7.1990
_cell_length_c 14.4831
_cell_angle_alpha 90.00
_cell_angle_beta 90.00
_cell_angle_gamma 120.00
_symmetry_space_group_name_H-M 'P -3 1 c'
_symmetry_Int_Tables_number 163
_symmetry_space_group_name_Hall '-P 3 2c'
loop_
_atom_site_label
_atom_site_type_symbol
_atom_site_fract_x
_atom_site_fract_y
_atom_site_fract_z
_atom_site_occupancy
Rb1 Rb 0.0000 0.0000 0.0000 1
La1 La 0.3333 0.6667 0.2500 1
Hg1 Hg 0.3333 0.6667 0.7500 1
Cl1 Cl 0.0083 0.3773 0.6405 1
```

Computed properties:
- Uncorrected formation energy: -1.69 eV/atom

***

Entry 2:
Below is MgTl2CdBr6 after structural relaxation, with properties calculated at the PBE level.

CIF file:
```
data_MgTl2CdBr6
_cell_length_a 7.6940
_cell_length_b 7.6940
_cell_length_c 18.6070
_cell_angle_alpha 90.00
_cell_angle_beta 90.00
_cell_angle_gamma 120.00
_symmetry_space_group_name_H-M 'R 3'
_symmetry_Int_Tables_number 146
_symmetry_space_group_name_Hall 'R 3'
loop_
_atom_site_label
_atom_site_type_symbol
_atom_site_fract_x
_atom_site_fract_y
_atom_site_fract_z
_atom_site_occupancy
Mg1 Mg 0.0000 0.0000 0.0000 1
Tl1 Tl 0.0000 0.0000 0.2694 1
Tl2 Tl 0.0000 0.0000 0.7680 1
Cd1 Cd 0.0000 0.0000 0.5008 1
Br1 Br 0.0025 0.4326 0.7441 1
Br2 Br 0.1037 0.7573 0.5795 1
```

Computed properties:
- Uncorrected formation energy: -1.00 eV/atom

***

Entry 3:
Below is Sr2PaSnO6 after structural relaxation, with properties calculated at the PBE level.

CIF file:
```
data_Sr2PaSnO6
_cell_length_a 4.357
_cell_length_b 4.357
_cell_length_c 8.795
_cell_angle_alpha 90.00
_cell_angle_beta 90.00
_cell_angle_gamma 90.00
_symmetry_space_group_name_H-M 'P 4/m m m'
_symmetry_Int_Tables_number 123
_symmetry_space_group_name_Hall '-P 4 2'
loop_
_atom_site_label
_atom_site_type_symbol
_atom_site_fract_x
_atom_site_fract_y
_atom_site_fract_z
_atom_site_occupancy
Sr1 Sr 0.000 0.000 0.207 1
Pa1 Pa 0.500 0.500 0.500 1
Sn1 Sn 0.500 0.500 0.000 1
O1 O 0.000 0.500 0.000 1
O2 O 0.000 0.500 0.500 1
O3 O 0.500 0.500 0.256 1
```

Computed properties:
- Uncorrected formation energy: -2.68 eV/atom

***

Entry 4:
Below is Mg2AlSn after structural relaxation, with properties calculated at the PBE level.

CIF file:
```
data_Mg2AlSn
_cell_length_a 4.406
_cell_length_b 4.406
_cell_length_c 4.414
_cell_angle_alpha 90.00
_cell_angle_beta 90.00
_cell_angle_gamma 90.00
_symmetry_space_group_name_H-M 'P 4/m m m'
_symmetry_Int_Tables_number 123
_symmetry_space_group_name_Hall '-P 4 2'
loop_
_atom_site_label
_atom_site_type_symbol
_atom_site_fract_x
_atom_site_fract_y
_atom_site_fract_z
_atom_site_occupancy
Mg1 Mg 0.000 0.500 0.000 1
Al1 Al 0.000 0.000 0.500 1
Sn1 Sn 0.500 0.500 0.500 1
```

Computed properties:
- E_form: -0.0458 eV/atom

***

Entry 5:
Below is Ac2GeBi3Pd4 after structural relaxation, with properties calculated at the PBE level.

CIF file:
```
data_Ac2GeBi3Pd4
_cell_length_a 4.794
_cell_length_b 4.794
_cell_length_c 10.795
_cell_angle_alpha 90.00
_cell_angle_beta 90.00
_cell_angle_gamma 90.00
_symmetry_space_group_name_H-M 'P -4 m 2'
_symmetry_Int_Tables_number 115
loop_
_symmetry_equiv_pos_as_xyz
'x,y,z'
'y,-x,-z'
'-x,-y,z'
'-y,x,-z'
'-x,y,z'
'-y,-x,-z'
'x,-y,z'
'y,x,-z'
loop_
_atom_site_label
_atom_site_type_symbol
_atom_site_fract_x
_atom_site_fract_y
_atom_site_fract_z
_atom_site_occupancy
Ac1 Ac 0.000 0.500 0.248 1
Ge1 Ge 0.000 0.000 0.500 1
Bi1 Bi 0.000 0.500 0.868 1
Bi2 Bi 0.500 0.500 0.500 1
Pd1 Pd 0.000 0.000 0.000 1
Pd2 Pd 0.000 0.500 0.616 1
Pd3 Pd 0.500 0.500 0.000 1
```

Computed properties:
- E_form: -0.6783 eV/atom

***

Entry 6:
Below is TbHoGe after structural relaxation, with properties calculated at the PBE level.

CIF file:
```
data_TbHoGe
_cell_length_a 4.250
_cell_length_b 11.560
_cell_length_c 6.396
_cell_angle_alpha 90.00
_cell_angle_beta 90.00
_cell_angle_gamma 90.00
_symmetry_space_group_name_H-M 'C m c m'
_symmetry_Int_Tables_number 63
_symmetry_space_group_name_Hall '-C 2c 2'
loop_
_atom_site_label
_atom_site_type_symbol
_atom_site_fract_x
_atom_site_fract_y
_atom_site_fract_z
_atom_site_occupancy
Tb1 Tb 0.000 0.000 0.000 1
Ho1 Ho 0.000 0.293 0.250 1
Ge1 Ge 0.000 0.381 0.750 1
```

Computed properties:
- Relative energy among the computed polymorphs: 0 meV per atom
- E_form: -0.6223 eV/atom

***

Entry 7:
Below is LiTaPb2 after structural relaxation, with properties calculated at the PBE level.

CIF file:
```
data_LiTaPb2
_cell_length_a 4.555
_cell_length_b 4.555
_cell_length_c 8.449
_cell_angle_alpha 90.00
_cell_angle_beta 90.00
_cell_angle_gamma 90.00
_symmetry_space_group_name_H-M 'I 4/m m m'
_symmetry_Int_Tables_number 139
_symmetry_space_group_name_Hall '-I 4 2'
loop_
_atom_site_label
_atom_site_type_symbol
_atom_site_fract_x
_atom_site_fract_y
_atom_site_fract_z
_atom_site_occupancy
Li1 Li 0.000 0.000 0.000 1
Ta1 Ta 0.000 0.000 0.500 1
Pb1 Pb 0.000 0.500 0.250 1
```

Computed properties:
- E_form: 0.4473 eV/atom

***

Entry 8:
Below is Ca2SeBr after structural relaxation, with properties calculated at the PBE level.

CIF file:
```
data_Ca2SeBr
_cell_length_a 4.1690
_cell_length_b 4.1690
_cell_length_c 22.5562
_cell_angle_alpha 90.00
_cell_angle_beta 90.00
_cell_angle_gamma 120.00
_symmetry_space_group_name_H-M 'R 3 m'
_symmetry_Int_Tables_number 160
_symmetry_space_group_name_Hall 'R 3 -2"'
loop_
_atom_site_label
_atom_site_type_symbol
_atom_site_fract_x
_atom_site_fract_y
_atom_site_fract_z
_atom_site_occupancy
Ca1 Ca 0.0000 0.0000 0.0000 1
Ca2 Ca 0.0000 0.0000 0.1899 1
Se1 Se 0.0000 0.0000 0.5985 1
Br1 Br 0.0000 0.0000 0.4215 1
```

Computed properties:
- Relative energy among the computed polymorphs: 17 meV per atom
- Uncorrected formation energy: -1.63 eV/atom

***

Entry 9:
Below is K2PrCl5 after structural relaxation, with properties calculated at the PBE level.

CIF file:
```
data_K2PrCl5
_cell_length_a 13.045
_cell_length_b 8.852
_cell_length_c 8.174
_cell_angle_alpha 90.00
_cell_angle_beta 90.00
_cell_angle_gamma 90.00
_symmetry_space_group_name_H-M 'P n m a'
_symmetry_Int_Tables_number 62
loop_
_symmetry_equiv_pos_as_xyz
'x,y,z'
'-x,-y,-z'
'-x+1/2,-y,z+1/2'
'x+1/2,y,-z+1/2'
'x+1/2,-y+1/2,-z+1/2'
'-x+1/2,y+1/2,z+1/2'
'-x,y+1/2,-z'
'x,-y+1/2,z'
loop_
_atom_site_label
_atom_site_type_symbol
_atom_site_fract_x
_atom_site_fract_y
_atom_site_fract_z
_atom_site_occupancy
K1 K 0.173 0.003 0.043 1
Pr1 Pr 0.006 0.250 0.574 1
Cl1 Cl 0.010 0.250 0.919 1
Cl2 Cl 0.081 0.542 0.660 1
Cl3 Cl 0.177 0.250 0.368 1
Cl4 Cl 0.202 0.750 0.330 1
```

Computed properties:
- Uncorrected formation energy: -2.17 eV/atom

***

Entry 10:
Below is CaDyCdGa after structural relaxation, with properties calculated at the PBE level.

CIF file:
```
data_CaDyCdGa
_cell_length_a 7.390
_cell_length_b 7.390
_cell_length_c 7.390
_cell_angle_alpha 90.00
_cell_angle_beta 90.00
_cell_angle_gamma 90.00
_symmetry_space_group_name_H-M 'F -4 3 m'
_symmetry_Int_Tables_number 216
_symmetry_space_group_name_Hall 'F -4 2 3'
loop_
_atom_site_label
_atom_site_type_symbol
_atom_site_fract_x
_atom_site_fract_y
_atom_site_fract_z
_atom_site_occupancy
Ca1 Ca 0.000 0.000 0.000 1
Dy1 Dy 0.000 0.000 0.500 1
Cd1 Cd 0.250 0.250 0.750 1
Ga1 Ga 0.250 0.250 0.250 1
```

Computed properties:
- Relative energy among the computed polymorphs: 10 meV per atom
- E_form: -0.4247 eV/atom

***

Entry 11:
Below is LiCe4Pm3Te8 after structural relaxation, with properties calculated at the PBE level.

CIF file:
```
data_LiCe4Pm3Te8
_cell_length_a 8.9043
_cell_length_b 8.9043
_cell_length_c 22.0318
_cell_angle_alpha 90.00
_cell_angle_beta 90.00
_cell_angle_gamma 120.00
_symmetry_space_group_name_H-M 'R -3 m'
_symmetry_Int_Tables_number 166
_symmetry_space_group_name_Hall '-R 3 2"'
loop_
_atom_site_label
_atom_site_type_symbol
_atom_site_fract_x
_atom_site_fract_y
_atom_site_fract_z
_atom_site_occupancy
Li1 Li 0.0000 0.0000 0.0000 1
Ce1 Ce 0.0000 0.0000 0.5000 1
Ce2 Ce 0.0000 0.5000 0.5000 1
Pm1 Pm 0.0000 0.5000 0.0000 1
Te1 Te 0.0000 0.0000 0.2506 1
Te2 Te 0.0087 0.5044 0.7470 1
```

Computed properties:
- Uncorrected formation energy: -1.36 eV/atom

***

Entry 12:
Below is AsI3 after structural relaxation, with properties calculated at the PBE level.

CIF file:
```
data_AsI3
_cell_length_a 8.548
_cell_length_b 8.548
_cell_length_c 8.878
_cell_angle_alpha 90.00
_cell_angle_beta 90.00
_cell_angle_gamma 90.00
_symmetry_space_group_name_H-M 'I -4 2 d'
_symmetry_Int_Tables_number 122
_symmetry_space_group_name_Hall 'I -4 2bw'
loop_
_atom_site_label
_atom_site_type_symbol
_atom_site_fract_x
_atom_site_fract_y
_atom_site_fract_z
_atom_site_occupancy
As1 As 0.000 0.000 0.000 1
I1 I 0.000 0.000 0.500 1
I2 I 0.177 0.250 0.125 1
```

Computed properties:
- Uncorrected formation energy: 0.26 eV/atom